Record 1
Density functional theory data (meta-GGA SCAN) for YSbC2 at its PBEsol-relaxed geometry. Values from VASP.

Structure (Quantum ESPRESSO input):
```
&SYSTEM
  ibrav = 0, nat = 8, ntyp = 3
/
ATOMIC_SPECIES
Y 88.91 Y.upf
Sb 121.76 Sb.upf
C 12.01 C.upf
ATOMIC_POSITIONS angstrom
Y 0.0000 0.0000 0.0000
Y 0.0000 2.9256 1.8733
Sb 2.9256 0.0000 1.8733
Sb 0.0000 0.0000 3.7466
C 1.4628 -1.2275 2.8099
C 1.6981 1.4628 0.9366
C 1.4628 4.1531 -0.9366
C 1.2275 1.4628 4.6832
CELL_PARAMETERS angstrom
-2.9256 2.9256 3.7466
2.9256 -2.9256 3.7466
2.9256 2.9256 -3.7466
```

Results
Its energy relative to the elements, uncorrected is 0.469 eV per atom. The value obtained for the calculated volume is 128 Å³/cell. The calculation puts the raw total energy at -20.857 eV per atom.


Record 2
Density functional theory data (meta-GGA SCAN) for Zn2SbC at its PBEsol-relaxed geometry. Values from VASP.

Structure (Quantum ESPRESSO input):
```
&SYSTEM
  ibrav = 0, nat = 4, ntyp = 3
/
ATOMIC_SPECIES
Zn 65.41 Zn.upf
Sb 121.76 Sb.upf
C 12.01 C.upf
ATOMIC_POSITIONS angstrom
Zn 1.5834 1.5834 1.5834
Zn 4.7502 4.7502 4.7502
Sb 0.0000 0.0000 0.0000
C 3.1668 3.1668 3.1668
CELL_PARAMETERS angstrom
0.0000 3.1668 3.1668
3.1668 0.0000 3.1668
3.1668 3.1668 0.0000
```

Results
Its energy relative to the elements, uncorrected is 1.483 eV per atom. The value obtained for the calculated volume is 64 Å³/cell. The calculation puts the raw total energy at -17.115 eV per atom.


Record 3
Density functional theory data (meta-GGA SCAN) for Zr3SbC at its PBEsol-relaxed geometry. Values from VASP.

Structure (Quantum ESPRESSO input):
```
&SYSTEM
  ibrav = 0, nat = 5, ntyp = 3
/
ATOMIC_SPECIES
Zr 91.22 Zr.upf
Sb 121.76 Sb.upf
C 12.01 C.upf
ATOMIC_POSITIONS angstrom
Zr 0.0000 0.0000 2.2604
Zr 0.0000 2.2604 0.0000
Zr 2.2604 0.0000 0.0000
Sb 2.2604 2.2604 2.2604
C 0.0000 0.0000 0.0000
CELL_PARAMETERS angstrom
4.5207 0.0000 0.0000
0.0000 4.5207 0.0000
0.0000 0.0000 4.5207
```

Results
Its energy relative to the elements, uncorrected is -0.558 eV per atom. The value obtained for the calculated volume is 92 Å³/cell. The calculation puts the raw total energy at -28.450 eV per atom.


Record 4
Density functional theory data (meta-GGA SCAN) for Sc3C2 at its PBEsol-relaxed geometry. Values from VASP.

Structure (Quantum ESPRESSO input):
```
&SYSTEM
  ibrav = 0, nat = 5, ntyp = 2
/
ATOMIC_SPECIES
Sc 44.96 Sc.upf
C 12.01 C.upf
ATOMIC_POSITIONS angstrom
Sc 0.0000 0.0000 0.0000
Sc 0.0000 1.9256 2.4714
Sc 1.6676 0.9628 5.8952
C 0.0000 1.9256 6.9275
C 1.6676 0.9628 1.4391
CELL_PARAMETERS angstrom
3.3352 0.0000 0.0000
-1.6676 2.8884 0.0000
0.0000 0.0000 8.3666
```

Results
The value obtained for the calculated volume is 81 Å³/cell. The calculation puts the raw total energy at -13.168 eV per atom. For the energy above the most stable polymorph in this dataset, the calculation gives 0 meV/atom. The formation energy is -585 meV/atom.